{"formula": "Pr3Al12Os4", "functional": "PBE", "state": "relaxed", "space_group": "P6_3/mmc", "total_magnetization_mub_per_fu": 0.767, "delta_e_f_mev_per_atom": -560, "crystal_system": "hexagonal", "dos_at_fermi_per_ev_atom": 0.5688, "lattice": [[8.912, 0.000, 0.000], [-4.456, 7.718, 0.000], [0.000, 0.000, 9.748]], "species": ["Pr", "Pr", "Pr", "Pr", "Pr", "Pr", "Al", "Al", "Al", "Al", "Al", "Al", "Al", "Al", "Al", "Al", "Al", "Al", "Al", "Al", "Al", "Al", "Al", "Al", "Al", "Al", "Al", "Al", "Al", "Al", "Os", "Os", "Os", "Os", "Os", "Os", "Os", "Os"], "frac_coords": [[0.192, 0.385, 0.250], [0.192, 0.808, 0.250], [0.385, 0.192, 0.750], [0.615, 0.808, 0.250], [0.808, 0.192, 0.750], [0.808, 0.615, 0.750], [0.000, 0.000, 0.250], [0.000, 0.000, 0.750], [0.125, 0.563, 0.750], [0.163, 0.327, 0.573], [0.163, 0.327, 0.927], [0.163, 0.837, 0.573], [0.163, 0.837, 0.927], [0.327, 0.163, 0.073], [0.327, 0.163, 0.427], [0.333, 0.667, 0.010], [0.333, 0.667, 0.490], [0.437, 0.563, 0.750], [0.437, 0.875, 0.750], [0.563, 0.125, 0.250], [0.563, 0.437, 0.250], [0.667, 0.333, 0.510], [0.667, 0.333, 0.990], [0.673, 0.837, 0.573], [0.673, 0.837, 0.927], [0.837, 0.163, 0.073], [0.837, 0.163, 0.427], [0.837, 0.673, 0.073], [0.837, 0.673, 0.427], [0.875, 0.437, 0.250], [0.000, 0.000, 0.000], [0.000, 0.000, 0.500], [0.000, 0.500, 0.000], [0.000, 0.500, 0.500], [0.500, 0.000, 0.000], [0.500, 0.000, 0.500], [0.500, 0.500, 0.000], [0.500, 0.500, 0.500]]}

=====

{"formula": "PrAl11Os", "functional": "PBE", "state": "relaxed", "space_group": "C2/m", "total_magnetization_mub_per_fu": 0.000, "delta_e_f_mev_per_atom": -245, "crystal_system": "monoclinic", "dos_at_fermi_per_ev_atom": 0.4296, "lattice": [[2.625, -6.328, 0.000], [2.625, 6.328, 0.000], [-2.529, 0.000, 6.778]], "species": ["Pr", "Al", "Al", "Al", "Al", "Al", "Al", "Al", "Al", "Al", "Al", "Al", "Os"], "frac_coords": [[0.000, 0.000, 0.000], [0.000, 0.000, 0.500], [0.000, 0.500, 0.000], [0.017, 0.364, 0.361], [0.280, 0.500, 0.771], [0.364, 0.017, 0.361], [0.500, 0.000, 0.000], [0.500, 0.280, 0.771], [0.500, 0.720, 0.229], [0.636, 0.983, 0.639], [0.720, 0.500, 0.229], [0.983, 0.636, 0.639], [0.500, 0.500, 0.500]]}

=====

{"formula": "Pr4AlOs", "functional": "PBE", "state": "relaxed", "space_group": "F-43m", "total_magnetization_mub_per_fu": 0.000, "delta_e_f_mev_per_atom": -180, "crystal_system": "cubic", "dos_at_fermi_per_ev_atom": 0.7914, "lattice": [[0.000, 7.012, 7.012], [7.012, 0.000, 7.012], [7.012, 7.012, 0.000]], "species": ["Pr", "Pr", "Pr", "Pr", "Pr", "Pr", "Pr", "Pr", "Pr", "Pr", "Pr", "Pr", "Pr", "Pr", "Pr", "Pr", "Al", "Al", "Al", "Al", "Os", "Os", "Os", "Os"], "frac_coords": [[0.054, 0.054, 0.446], [0.054, 0.446, 0.054], [0.054, 0.446, 0.446], [0.191, 0.191, 0.809], [0.191, 0.809, 0.191], [0.191, 0.809, 0.809], [0.205, 0.598, 0.598], [0.446, 0.054, 0.054], [0.446, 0.054, 0.446], [0.446, 0.446, 0.054], [0.598, 0.205, 0.598], [0.598, 0.598, 0.205], [0.598, 0.598, 0.598], [0.809, 0.191, 0.191], [0.809, 0.191, 0.809], [0.809, 0.809, 0.191], [0.528, 0.824, 0.824], [0.824, 0.528, 0.824], [0.824, 0.824, 0.528], [0.824, 0.824, 0.824], [0.388, 0.388, 0.388], [0.388, 0.388, 0.837], [0.388, 0.837, 0.388], [0.837, 0.388, 0.388]]}

=====

{"formula": "PrAlOs", "functional": "PBE", "state": "relaxed", "space_group": "I4_1md", "total_magnetization_mub_per_fu": 0.000, "delta_e_f_mev_per_atom": -174, "crystal_system": "tetragonal", "dos_at_fermi_per_ev_atom": 0.3609, "lattice": [[-2.102, 2.102, 7.569], [2.102, -2.102, 7.569], [2.102, 2.102, -7.569]], "species": ["Pr", "Pr", "Al", "Al", "Os", "Os"], "frac_coords": [[0.000, 0.000, 0.000], [0.750, 0.250, 0.500], [0.337, 0.837, 0.500], [0.587, 0.587, 0.000], [0.173, 0.673, 0.500], [0.423, 0.423, 0.000]]}